[1]
# KBa2Li | the Alexandria database | PBE | optimized geometry
data_KBa2Li
_chemical_formula_sum 'K4 Ba8 Li4'
_symmetry_space_group_name_H-M 'I -4 2 d'
_symmetry_Int_Tables_number 122
_symmetry_space_group_name_Hall 'I -4 2bw'
_cell_length_a 10.481
_cell_length_b 10.481
_cell_length_c 8.296
_cell_angle_alpha 90.00
_cell_angle_beta 90.00
_cell_angle_gamma 90.00
loop_
_atom_site_label
_atom_site_fract_x
_atom_site_fract_y
_atom_site_fract_z
K1 0.000 0.000 0.000
Ba1 0.202 0.250 0.625
Li1 0.000 0.000 0.500
# Theoretical density, g/cm3: 2.34
# ΔH_f (0 K), eV/atom: 0.240
# DOS(E_F), states/eV/f.u.: 5.8
# Magnetization, μB/f.u.: 0.0



[2]
# KBa2Li | the Alexandria database | PBE | optimized geometry
data_KBa2Li
_chemical_formula_sum 'K2 Ba4 Li2'
_symmetry_space_group_name_H-M 'C 1 m 1'
_symmetry_Int_Tables_number 8
_cell_length_a 7.688
_cell_length_b 4.436
_cell_length_c 13.547
_cell_angle_alpha 90.00
_cell_angle_beta 100.99
_cell_angle_gamma 90.00
loop_
_symmetry_equiv_pos_as_xyz
'x,y,z'
'x,-y,z'
'x+1/2,y+1/2,z'
'x+1/2,-y+1/2,z'
loop_
_atom_site_label
_atom_site_fract_x
_atom_site_fract_y
_atom_site_fract_z
K1 0.000 0.000 0.000
Ba1 0.235 0.000 0.705
Ba2 0.432 0.000 0.296
Li1 0.333 0.500 0.500
# Theoretical density, g/cm3: 2.35
# ΔH_f (0 K), eV/atom: 0.135
# DOS(E_F), states/eV/f.u.: 5.0
# Magnetization, μB/f.u.: 0.0



[3]
# KBa2Li | the Alexandria database | PBE | optimized geometry
data_KBa2Li
_chemical_formula_sum 'K2 Ba4 Li2'
_symmetry_space_group_name_H-M 'I -4 m 2'
_symmetry_Int_Tables_number 119
_symmetry_space_group_name_Hall 'I -4 -2'
_cell_length_a 5.801
_cell_length_b 5.801
_cell_length_c 13.245
_cell_angle_alpha 90.00
_cell_angle_beta 90.00
_cell_angle_gamma 90.00
loop_
_atom_site_label
_atom_site_fract_x
_atom_site_fract_y
_atom_site_fract_z
K1 0.000 0.000 0.000
Ba1 0.000 0.000 0.500
Ba2 0.000 0.500 0.250
Li1 0.000 0.500 0.750
# Theoretical density, g/cm3: 2.39
# ΔH_f (0 K), eV/atom: 0.178
# DOS(E_F), states/eV/f.u.: 4.5
# Magnetization, μB/f.u.: 0.0



[4]
# K2BaLi2 | the Alexandria database | PBE | optimized geometry
data_K2BaLi2
_chemical_formula_sum 'K4 Ba2 Li4'
_symmetry_space_group_name_H-M 'I 4/m m m'
_symmetry_Int_Tables_number 139
_symmetry_space_group_name_Hall '-I 4 2'
_cell_length_a 6.270
_cell_length_b 6.270
_cell_length_c 12.731
_cell_angle_alpha 90.00
_cell_angle_beta 90.00
_cell_angle_gamma 90.00
loop_
_atom_site_label
_atom_site_fract_x
_atom_site_fract_y
_atom_site_fract_z
K1 0.000 0.000 0.139
Ba1 0.000 0.000 0.500
Li1 0.000 0.500 0.250
# Theoretical density, g/cm3: 1.52
# ΔH_f (0 K), eV/atom: 0.230
# Energy above the most stable polymorph in this dataset, meV/atom: 58
# DOS(E_F), states/eV/f.u.: 3.4
# Magnetization, μB/f.u.: 0.0



[5]
# KBaLi4 | the Alexandria database | PBE | optimized geometry
data_KBaLi4
_chemical_formula_sum 'K4 Ba4 Li16'
_symmetry_space_group_name_H-M 'F -4 3 m'
_symmetry_Int_Tables_number 216
_symmetry_space_group_name_Hall 'F -4 2 3'
_cell_length_a 9.429
_cell_length_b 9.429
_cell_length_c 9.429
_cell_angle_alpha 90.00
_cell_angle_beta 90.00
_cell_angle_gamma 90.00
loop_
_atom_site_label
_atom_site_fract_x
_atom_site_fract_y
_atom_site_fract_z
K1 0.000 0.000 0.000
Ba1 0.250 0.250 0.250
Li1 0.125 0.125 0.625
# Theoretical density, g/cm3: 1.62
# ΔH_f (0 K), eV/atom: 0.089
# DOS(E_F), states/eV/f.u.: 4.4
# Magnetization, μB/f.u.: 0.0



[6]
# KBa2Li | the Alexandria database | PBE | optimized geometry
data_KBa2Li
_chemical_formula_sum 'K2 Ba4 Li2'
_symmetry_space_group_name_H-M 'I 4/m m m'
_symmetry_Int_Tables_number 139
_symmetry_space_group_name_Hall '-I 4 2'
_cell_length_a 6.144
_cell_length_b 6.144
_cell_length_c 11.678
_cell_angle_alpha 90.00
_cell_angle_beta 90.00
_cell_angle_gamma 90.00
loop_
_atom_site_label
_atom_site_fract_x
_atom_site_fract_y
_atom_site_fract_z
K1 0.000 0.000 0.000
Ba1 0.000 0.500 0.250
Li1 0.000 0.000 0.500
# Theoretical density, g/cm3: 2.42
# ΔH_f (0 K), eV/atom: 0.156
# DOS(E_F), states/eV/f.u.: 5.0
# Magnetization, μB/f.u.: 0.0



[7]
# KBa2Li | the Alexandria database | PBE | optimized geometry
data_KBa2Li
_chemical_formula_sum 'K1 Ba2 Li1'
_symmetry_space_group_name_H-M 'P 1 2/m 1'
_symmetry_Int_Tables_number 10
_cell_length_a 4.377
_cell_length_b 4.378
_cell_length_c 11.388
_cell_angle_alpha 90.00
_cell_angle_beta 90.15
_cell_angle_gamma 90.00
loop_
_symmetry_equiv_pos_as_xyz
'x,y,z'
'-x,-y,-z'
'-x,y,-z'
'x,-y,z'
loop_
_atom_site_label
_atom_site_fract_x
_atom_site_fract_y
_atom_site_fract_z
K1 0.000 0.000 0.000
Ba1 0.498 0.500 0.313
Li1 0.000 0.000 0.500
# Theoretical density, g/cm3: 2.44
# ΔH_f (0 K), eV/atom: 0.061
# DOS(E_F), states/eV/f.u.: 4.8
# Magnetization, μB/f.u.: 0.0



[8]
# KBa2Li | the Alexandria database | PBE | optimized geometry
data_KBa2Li
_chemical_formula_sum 'K1 Ba2 Li1'
_symmetry_space_group_name_H-M 'P m m m'
_symmetry_Int_Tables_number 47
_cell_length_a 5.864
_cell_length_b 6.114
_cell_length_c 6.161
_cell_angle_alpha 90.00
_cell_angle_beta 90.00
_cell_angle_gamma 90.00
loop_
_symmetry_equiv_pos_as_xyz
'x,y,z'
'-x,-y,-z'
'-x,-y,z'
'x,y,-z'
'x,-y,-z'
'-x,y,z'
'-x,y,-z'
'x,-y,z'
loop_
_atom_site_label
_atom_site_fract_x
_atom_site_fract_y
_atom_site_fract_z
K1 0.000 0.000 0.000
Ba1 0.500 0.000 0.500
Ba2 0.500 0.500 0.000
Li1 0.000 0.500 0.500
# Theoretical density, g/cm3: 2.41
# ΔH_f (0 K), eV/atom: 0.154
# DOS(E_F), states/eV/f.u.: 4.4
# Magnetization, μB/f.u.: 0.0